[1]
VASP calculation (GGA-PBEsol) on an optimized crystal structure of YCu2W.

D(E_F): 0.679 states/eV/atom
Formation enthalpy at 0 K: 553 meV/atom

abc: 9.2984 9.2984 9.2984
angles: 17.58 17.58 17.58
Sites, in units of the cell vectors:
Y (0.0000, 0.0000, 0.0000)
Cu (0.4912, 0.4912, 0.4912)
Cu (0.7564, 0.7564, 0.7564)
W (0.2341, 0.2341, 0.2341)


[2]
VASP calculation (GGA-PBEsol) on an optimized crystal structure of KLa2Mg.

D(E_F): 1.526 states/eV/atom
Formation enthalpy at 0 K: 373 meV/atom

abc: 5.0438 5.0438 5.5963
angles: 90.00 90.00 90.00
Sites, in units of the cell vectors:
K (0.0000, 0.0000, 0.0000)
La (0.0000, 0.5000, 0.5000)
La (0.5000, 0.0000, 0.5000)
Mg (0.5000, 0.5000, 0.0000)


[3]
VASP calculation (GGA-PBEsol) on an optimized crystal structure of NiTeAs3.

D(E_F): 1.480 states/eV/atom
ΔE_f (raw): 1.61 eV per atom

abc: 5.1730 5.1730 5.1730
angles: 90.00 90.00 90.00
Sites, in units of the cell vectors:
Ni (0.0000, 0.0000, 0.0000)
Te (0.5000, 0.5000, 0.5000)
As (0.0000, 0.5000, 0.5000)
As (0.5000, 0.0000, 0.5000)
As (0.5000, 0.5000, 0.0000)


[4]
VASP calculation (GGA-PBEsol) on an optimized crystal structure of MgCu2P.

D(E_F): 0.332 states/eV/atom
Formation enthalpy at 0 K: 64 meV/atom

abc: 5.2014 5.2014 2.6333
angles: 104.60 104.60 119.44
Sites, in units of the cell vectors:
Mg (0.0000, 0.0000, 0.0000)
Cu (0.0000, 0.5000, 0.5000)
Cu (0.5000, 0.0000, 0.5000)
P (0.5000, 0.5000, 0.0000)